1.
Computed, not measured: a geometry-optimized La3ScGa structure at the PBE level of DFT.

Cell lengths 5.7664, 5.7664, 5.7664 Å; angles 90.00, 90.00, 90.00 degrees
Fractional positions:
La 0.0000 0.0000 0.5000
La 0.0000 0.5000 0.0000
La 0.5000 0.0000 0.0000
Sc 0.5000 0.5000 0.5000
Ga 0.0000 0.0000 0.0000

Output
As for the uncorrected energy: -4.591 eV per atom. The calculation puts the formation energy at 238 meV/atom. The calculated volume is 38.35 A^3/atom. The excess energy over the best structure of this formula in the dataset comes out at 0 meV/atom. Its crystal system is cubic.


2.
Computed, not measured: a geometry-optimized Ba12Ag3O5 structure at the PBE level of DFT.

Cell lengths 15.5115, 15.5115, 15.5115 Å; angles 109.47, 109.47, 109.47 degrees
Fractional positions:
Ba 0.0126 0.1965 0.1154
Ba 0.0126 0.3161 0.8972
Ba 0.0811 0.6965 0.6839
Ba 0.0811 0.8846 0.3972
Ba 0.1028 0.6154 0.4189
Ba 0.1028 0.9874 0.6839
Ba 0.1154 0.0126 0.1965
Ba 0.1154 0.6028 0.9189
Ba 0.1839 0.1965 0.5811
Ba 0.1839 0.4874 0.6028
Ba 0.1965 0.1154 0.0126
Ba 0.1965 0.5811 0.1839
Ba 0.3035 0.3161 0.9189
Ba 0.3035 0.4874 0.3846
Ba 0.3161 0.8972 0.0126
Ba 0.3161 0.9189 0.3035
Ba 0.3846 0.3035 0.4874
Ba 0.3846 0.5811 0.8972
Ba 0.3972 0.0811 0.8846
Ba 0.3972 0.8161 0.5125
Ba 0.4189 0.1028 0.6154
Ba 0.4189 0.8161 0.8035
Ba 0.4874 0.3846 0.3035
Ba 0.4874 0.6028 0.1839
Ba 0.5125 0.3972 0.8161
Ba 0.5125 0.6154 0.6965
Ba 0.5811 0.1839 0.1965
Ba 0.5811 0.8972 0.3846
Ba 0.6028 0.1839 0.4874
Ba 0.6028 0.9189 0.1154
Ba 0.6154 0.4189 0.1028
Ba 0.6154 0.6965 0.5125
Ba 0.6839 0.0811 0.6965
Ba 0.6839 0.1028 0.9874
Ba 0.6965 0.5125 0.6154
Ba 0.6965 0.6839 0.0811
Ba 0.8035 0.4189 0.8161
Ba 0.8035 0.8846 0.9874
Ba 0.8161 0.5125 0.3972
Ba 0.8161 0.8035 0.4189
Ba 0.8846 0.3972 0.0811
Ba 0.8846 0.9874 0.8035
Ba 0.8972 0.0126 0.3161
Ba 0.8972 0.3846 0.5811
Ba 0.9189 0.1154 0.6028
Ba 0.9189 0.3035 0.3161
Ba 0.9874 0.6839 0.1028
Ba 0.9874 0.8035 0.8846
Ag 0.1250 0.2500 0.3750
Ag 0.1250 0.3750 0.7500
Ag 0.2500 0.3750 0.1250
Ag 0.2500 0.8750 0.6250
Ag 0.3750 0.1250 0.2500
Ag 0.3750 0.7500 0.1250
Ag 0.6250 0.2500 0.8750
Ag 0.6250 0.8750 0.7500
Ag 0.7500 0.1250 0.3750
Ag 0.7500 0.6250 0.8750
Ag 0.8750 0.6250 0.2500
Ag 0.8750 0.7500 0.6250
O 0.0000 0.0000 0.0000
O 0.0000 0.0000 0.5000
O 0.0000 0.5000 0.0000
O 0.0000 0.5000 0.5000
O 0.1250 0.7500 0.8750
O 0.1250 0.8750 0.2500
O 0.2500 0.1250 0.8750
O 0.2500 0.6250 0.3750
O 0.3750 0.2500 0.6250
O 0.3750 0.6250 0.7500
O 0.5000 0.0000 0.0000
O 0.5000 0.0000 0.5000
O 0.5000 0.5000 0.0000
O 0.5000 0.5000 0.5000
O 0.6250 0.3750 0.2500
O 0.6250 0.7500 0.3750
O 0.7500 0.3750 0.6250
O 0.7500 0.8750 0.1250
O 0.8750 0.1250 0.7500
O 0.8750 0.2500 0.1250

Output
The uncorrected formation energy comes out at -118.6 kJ/mol of atoms. As for the uncorrected energy: -4.050 eV per atom. The calculated volume is 35.91 A^3/atom. Its crystal system is cubic.


3.
Computed, not measured: a geometry-optimized BaZn2Si2 structure at the PBE level of DFT.

Cell lengths 4.4236, 4.4236, 10.7933 Å; angles 90.00, 90.00, 90.00 degrees
Fractional positions:
Ba 0.0000 0.0000 0.0000
Ba 0.5000 0.5000 0.5000
Zn 0.0000 0.0000 0.3768
Zn 0.0000 0.0000 0.6232
Zn 0.5000 0.5000 0.1232
Zn 0.5000 0.5000 0.8768
Si 0.0000 0.5000 0.2500
Si 0.0000 0.5000 0.7500
Si 0.5000 0.0000 0.2500
Si 0.5000 0.0000 0.7500

Output
The uncorrected formation energy comes out at -18.0 kJ/mol of atoms. As for the uncorrected energy: -3.250 eV per atom. The calculated volume is 21.12 A^3/atom. Its crystal system is tetragonal.


4.
Computed, not measured: a geometry-optimized BeAg2Pb structure at the PBE level of DFT.

Cell lengths 4.1134, 4.1134, 8.8832 Å; angles 90.00, 90.00, 90.00 degrees
Fractional positions:
Be 0.0000 0.0000 0.0000
Be 0.5000 0.5000 0.5000
Ag 0.0000 0.5000 0.2500
Ag 0.0000 0.5000 0.7500
Ag 0.5000 0.0000 0.2500
Ag 0.5000 0.0000 0.7500
Pb 0.0000 0.0000 0.5000
Pb 0.5000 0.5000 0.0000

Output
As for the uncorrected energy: -2.879 eV per atom. The calculation puts the formation energy at 405 meV/atom. The calculated volume is 18.79 A^3/atom. The excess energy over the best structure of this formula in the dataset comes out at 193 meV/atom. Its crystal system is tetragonal.


5.
Computed, not measured: a geometry-optimized TiNi2H structure at the PBE level of DFT.

Cell lengths 2.6360, 2.6360, 20.5907 Å; angles 90.00, 90.00, 120.00 degrees
Fractional positions:
Ti 0.0000 0.0000 0.0000
Ti 0.3333 0.6667 0.6667
Ti 0.6667 0.3333 0.3333
Ni 0.0000 0.0000 0.1140
Ni 0.0000 0.0000 0.8860
Ni 0.3333 0.6667 0.5526
Ni 0.3333 0.6667 0.7807
Ni 0.6667 0.3333 0.2193
Ni 0.6667 0.3333 0.4474
H 0.0000 0.0000 0.5000
H 0.3333 0.6667 0.1667
H 0.6667 0.3333 0.8333

Output
As for the uncorrected energy: -5.595 eV per atom. The calculated volume is 10.33 A^3/atom. The excess energy over the best structure of this formula in the dataset comes out at 182 meV/atom. Its crystal system is trigonal.


6.
Computed, not measured: a geometry-optimized Ac5ThSn5 structure at the PBE level of DFT.

Cell lengths 8.3430, 8.3430, 9.2280 Å; angles 106.34, 106.34, 47.31 degrees
Fractional positions:
Ac 0.0000 0.0000 0.0000
Ac 0.3268 0.3268 0.1694
Ac 0.3326 0.3326 0.6649
Ac 0.6674 0.6674 0.3351
Ac 0.6732 0.6732 0.8306
Th 0.0000 0.0000 0.5000
Sn 0.1579 0.1579 0.3371
Sn 0.1602 0.1602 0.8249
Sn 0.5000 0.5000 0.5000
Sn 0.8398 0.8398 0.1751
Sn 0.8421 0.8421 0.6629

Output
As for the uncorrected energy: -4.823 eV per atom. The calculation puts the formation energy at -461 meV/atom. The calculated volume is 40.84 A^3/atom. Its crystal system is monoclinic.


7.
Computed, not measured: a geometry-optimized ZrAlNi structure at the PBE level of DFT.

Cell lengths 4.2436, 4.2436, 3.1688 Å; angles 90.00, 90.00, 120.00 degrees
Fractional positions:
Zr 0.0000 0.0000 0.0000
Al 0.3333 0.6667 0.5000
Ni 0.6667 0.3333 0.5000

Output
As for the uncorrected energy: -6.515 eV per atom. The calculation puts the formation energy at -490 meV/atom. The calculated volume is 16.47 A^3/atom. Its crystal system is hexagonal.


8.
Computed, not measured: a geometry-optimized KEr2PuO8 structure at the PBE level of DFT.

Cell lengths 5.0636, 7.6023, 5.0688 Å; angles 90.00, 90.14, 90.00 degrees
Fractional positions:
K 0.0000 0.0000 0.0000
Er 0.5000 0.2830 0.5000
Er 0.5000 0.7170 0.5000
Pu 0.0000 0.5000 0.0000
O 0.1896 0.3104 0.8143
O 0.1896 0.6896 0.8143
O 0.2953 0.5000 0.2989
O 0.3901 0.0000 0.3965
O 0.6099 0.0000 0.6035
O 0.7047 0.5000 0.7011
O 0.8104 0.3104 0.1857
O 0.8104 0.6896 0.1857

Output
The uncorrected formation energy comes out at -245.3 kJ/mol of atoms. As for the uncorrected energy: -7.894 eV per atom. The calculated volume is 16.26 A^3/atom. Its crystal system is monoclinic.


9.
Computed, not measured: a geometry-optimized SrHoInSn structure at the PBE level of DFT.

Cell lengths 7.7873, 7.7873, 7.7873 Å; angles 90.00, 90.00, 90.00 degrees
Fractional positions:
Sr 0.0000 0.0000 0.0000
Sr 0.0000 0.5000 0.5000
Sr 0.5000 0.0000 0.5000
Sr 0.5000 0.5000 0.0000
Ho 0.0000 0.0000 0.5000
Ho 0.0000 0.5000 0.0000
Ho 0.5000 0.0000 0.0000
Ho 0.5000 0.5000 0.5000
In 0.2500 0.2500 0.2500
In 0.2500 0.7500 0.7500
In 0.7500 0.2500 0.7500
In 0.7500 0.7500 0.2500
Sn 0.2500 0.2500 0.7500
Sn 0.2500 0.7500 0.2500
Sn 0.7500 0.2500 0.2500
Sn 0.7500 0.7500 0.7500

Output
As for the uncorrected energy: -3.689 eV per atom. The calculation puts the formation energy at -439 meV/atom. The calculated volume is 29.52 A^3/atom. Its crystal system is cubic.


10.
Computed, not measured: a geometry-optimized Pm5CdAu3 structure at the PBE level of DFT.

Cell lengths 8.9906, 8.9906, 7.0071 Å; angles 90.00, 90.00, 120.00 degrees
Fractional positions:
Pm 0.0000 0.2952 0.2500
Pm 0.0000 0.7048 0.7500
Pm 0.2952 0.0000 0.2500
Pm 0.2952 0.2952 0.7500
Pm 0.3333 0.6667 0.0000
Pm 0.3333 0.6667 0.5000
Pm 0.6667 0.3333 0.0000
Pm 0.6667 0.3333 0.5000
Pm 0.7048 0.0000 0.7500
Pm 0.7048 0.7048 0.2500
Cd 0.0000 0.0000 0.0000
Cd 0.0000 0.0000 0.5000
Au 0.0000 0.3753 0.7500
Au 0.0000 0.6247 0.2500
Au 0.3753 0.0000 0.7500
Au 0.3753 0.3753 0.2500
Au 0.6247 0.0000 0.2500
Au 0.6247 0.6247 0.7500

Output
As for the uncorrected energy: -4.345 eV per atom. The calculation puts the formation energy at -512 meV/atom. The calculated volume is 27.25 A^3/atom. Its crystal system is hexagonal.


11.
Computed, not measured: a geometry-optimized Al2TlPbCl8 structure at the PBE level of DFT.

Cell lengths 10.9922, 10.9922, 10.9922 Å; angles 34.81, 34.81, 34.81 degrees
Fractional positions:
Al 0.2402 0.2402 0.2402
Al 0.7598 0.7598 0.7598
Tl 0.5000 0.5000 0.5000
Pb 0.0000 0.0000 0.0000
Cl 0.0623 0.7082 0.4410
Cl 0.1706 0.1706 0.1706
Cl 0.2918 0.5590 0.9377
Cl 0.4410 0.0623 0.7082
Cl 0.5590 0.9377 0.2918
Cl 0.7082 0.4410 0.0623
Cl 0.8294 0.8294 0.8294
Cl 0.9377 0.2918 0.5590

Output
The uncorrected formation energy comes out at -120.2 kJ/mol of atoms. As for the uncorrected energy: -3.607 eV per atom. The calculated volume is 32.20 A^3/atom. Its crystal system is trigonal.


12.
Computed, not measured: a geometry-optimized LiHo2Zn7 structure at the PBE level of DFT.

Cell lengths 4.0666, 4.0666, 11.0395 Å; angles 90.00, 90.00, 90.00 degrees
Fractional positions:
Li 0.0000 0.0000 0.0000
Ho 0.0000 0.5000 0.7408
Ho 0.5000 0.0000 0.2592
Zn 0.0000 0.0000 0.5000
Zn 0.0000 0.5000 0.1417
Zn 0.0000 0.5000 0.3633
Zn 0.5000 0.0000 0.6367
Zn 0.5000 0.0000 0.8583
Zn 0.5000 0.5000 0.0000
Zn 0.5000 0.5000 0.5000

Output
As for the uncorrected energy: -2.265 eV per atom. The calculation puts the formation energy at -266 meV/atom. The calculated volume is 18.26 A^3/atom. Its crystal system is tetragonal.